The following is a PBE calculation of PaMoN2 after structural relaxation, from Alexandria.

- M_tot (μB/atom) = 0.000
- final energy (eV per atom) = -9.598
- mass density (kg/m³) = 10314
- excess energy over the best structure of this formula in the dataset (meV/atom) = 779
- SG = R-3m (166)

Lattice parameters (Å, degrees): 6.638 6.638 6.638 28.05 28.05 28.05
Element x y z (fractional)
Pa: 0.000 0.000 0.000
Mo: 0.500 0.500 0.500
N: 0.111 0.111 0.111
N: 0.889 0.889 0.889